Record 1
11
Lattice="3.012 -5.131 0.000 3.012 5.131 0.000 -1.632 0.000 6.393" Properties=species:S:1:pos:R:3 comment="K2Nd2RuO6, relaxed, DFT PBE-GGA" space_group=C2/m crystal_system=monoclinic formation_energy_uncorrected_mev_per_atom=-2086 pbc="T T T"
K 3.012 3.528 0.000
K 3.012 -3.528 0.000
Nd 2.196 1.703 3.196
Nd 2.196 -1.703 3.196
Ru -0.816 0.000 3.196
O 0.094 1.574 4.315
O 0.867 0.000 2.081
O 0.094 -1.574 4.315
O 4.297 1.574 2.078
O 3.524 0.000 4.312
O 4.297 -1.574 2.078

---

Record 2
5
Lattice="4.197 0.000 0.000 0.000 4.197 0.000 0.000 0.000 4.605" Properties=species:S:1:pos:R:3 comment="GaTeO2F, relaxed, DFT PBE-GGA" space_group=P4/mmm crystal_system=tetragonal formation_energy_uncorrected_mev_per_atom=-958 pbc="T T T"
Ga 0.000 0.000 0.000
Te 2.098 2.098 2.302
O 0.000 2.098 2.302
O 2.098 0.000 2.302
F 2.098 2.098 0.000

---

Record 3
12
Lattice="3.113 -5.388 0.000 3.113 5.388 0.000 -2.069 0.000 11.718" Properties=species:S:1:pos:R:3 comment="Tb6Nd2Sm3Er, relaxed, DFT PBE-GGA" space_group=C2/m crystal_system=monoclinic delta_e_f_ev_per_atom=0.01 pbc="T T T"
Tb 0.002 1.791 8.786
Tb 1.032 0.000 2.925
Tb 0.002 -1.791 8.786
Tb 4.154 1.791 2.931
Tb 3.124 0.000 8.792
Tb 4.154 -1.791 2.931
Nd 2.078 1.793 5.859
Nd 2.078 -1.793 5.859
Sm 3.113 3.591 0.000
Sm 3.113 0.000 0.000
Sm 3.113 -3.591 0.000
Er -1.034 0.000 5.859

---

Record 4
5
Lattice="4.896 0.000 0.000 0.000 4.896 0.000 0.000 0.000 4.795" Properties=species:S:1:pos:R:3 comment="NaSiAg2Au, relaxed, DFT PBE-GGA" space_group=P4/mmm crystal_system=tetragonal formation_energy_uncorrected_mev_per_atom=6 pbc="T T T"
Na 0.000 0.000 0.000
Si 2.448 2.448 2.398
Ag 0.000 2.448 2.398
Ag 2.448 0.000 2.398
Au 2.448 2.448 0.000

---

Number 1: ρ 4.7 g/cm3. Number 2: ρ 5.1 g/cm3. Number 3: ρ 7.9 g/cm3. Number 4: ρ 6.7 g/cm3.